A plane-wave DFT calculation with PBE was carried out for an optimized crystal structure of Na2TmB2O6.

formation energy (no corrections)	-2394.9	meV per atom
theoretical density	3.7	Mg/m³

Cell: 5.3055 5.3055 6.1191 Å, 90.00 90.00 120.00°
Closest atoms and distances in Å follow each position.
Space group P-3 (No. 147)
Asymmetric unit:
Na 0.3333 0.6667 0.3376 x2  3 O 2.35
Tm 0.0000 0.0000 0.0000 x1  6 O 2.23
B 0.3333 0.6667 0.7936 x2  3 O 1.38
O 0.1082 0.3832 0.7870 x6  1 B 1.38